# 1
{
  "formula": "Tc3WCl",
  "functional": "GGA-PBE",
  "state": "relaxed",
  "density_g_cm3": 10.655,
  "final_energy_ev_per_cell": -39.64,
  "e_above_lowest_polymorph_ev_per_fu": 0.00,
  "m_tot_mub_per_atom": 0.00,
  "formation_energy_uncorrected_ev_per_atom": 1.2525,
  "lattice": [[4.309, 0.000, 0.000], [0.000, 4.309, 0.000], [0.000, 0.000, 4.309]],
  "species": ["Tc", "Tc", "Tc", "Cl", "W"],
  "frac_coords": [[0.000, 0.500, 0.000], [0.000, 0.000, 0.500], [0.500, 0.000, 0.000], [0.000, 0.000, 0.000], [0.500, 0.500, 0.500]]
}

=====

# 2
{
  "formula": "TcWCl2",
  "functional": "GGA-PBE",
  "state": "relaxed",
  "density_g_cm3": 8.912,
  "final_energy_ev_per_cell": -23.53,
  "e_above_lowest_polymorph_ev_per_fu": 4.41,
  "m_tot_mub_per_atom": 0.10,
  "formation_energy_uncorrected_ev_per_atom": 0.8705,
  "lattice": [[-2.277, 0.064, -1.687], [3.002, -1.503, -4.108], [-0.814, -4.189, 0.938]],
  "species": ["Cl", "Cl", "Tc", "W"],
  "frac_coords": [[0.500, 0.500, 0.000], [0.000, 0.000, 0.000], [0.500, 0.000, 0.500], [0.000, 0.500, 0.500]]
}

=====

# 3
{
  "formula": "TcWCl2",
  "functional": "GGA-PBE",
  "state": "relaxed",
  "density_g_cm3": 7.850,
  "final_energy_ev_per_cell": -44.16,
  "e_above_lowest_polymorph_ev_per_fu": 5.86,
  "m_tot_mub_per_atom": 0.00,
  "formation_energy_uncorrected_ev_per_atom": 1.2329,
  "lattice": [[5.347, 0.000, 0.000], [0.000, 5.347, 0.000], [2.673, 2.673, 5.221]],
  "species": ["Tc", "Tc", "Cl", "Cl", "Cl", "Cl", "W", "W"],
  "frac_coords": [[0.250, 0.750, 0.500], [0.500, 0.500, 0.000], [0.375, 0.376, 0.750], [0.624, 0.125, 0.250], [0.126, 0.625, 0.250], [0.875, 0.874, 0.750], [0.000, 0.000, 0.000], [0.750, 0.250, 0.500]]
}

=====

# 4
{
  "formula": "TcWCl2",
  "functional": "GGA-PBE",
  "state": "relaxed",
  "density_g_cm3": 6.916,
  "final_energy_ev_per_cell": -27.94,
  "e_above_lowest_polymorph_ev_per_fu": 0.00,
  "m_tot_mub_per_atom": 0.00,
  "formation_energy_uncorrected_ev_per_atom": -0.2312,
  "lattice": [[2.969, 0.000, 0.000], [0.000, 3.259, 0.021], [0.000, -0.275, 8.751]],
  "species": ["Cl", "Cl", "Tc", "W"],
  "frac_coords": [[0.000, 0.895, 0.928], [0.500, 0.355, 0.323], [0.000, 0.369, 0.540], [0.500, 0.881, 0.709]]
}

=====

# 5
{
  "formula": "Tc2WCl",
  "functional": "GGA-PBE",
  "state": "relaxed",
  "density_g_cm3": 11.080,
  "final_energy_ev_per_cell": -32.94,
  "e_above_lowest_polymorph_ev_per_fu": 1.45,
  "m_tot_mub_per_atom": 0.00,
  "formation_energy_uncorrected_ev_per_atom": 0.6476,
  "lattice": [[-4.703, -1.650, -1.027], [-2.913, -3.040, -2.858], [0.435, -3.258, 2.896]],
  "species": ["W", "Tc", "Tc", "Cl"],
  "frac_coords": [[0.250, 0.250, 0.250], [0.534, 0.534, 0.477], [0.966, 0.966, 0.023], [0.750, 0.750, 0.750]]
}

=====

# 6
{
  "formula": "TcWCl2",
  "functional": "GGA-PBE",
  "state": "relaxed",
  "density_g_cm3": 5.651,
  "final_energy_ev_per_cell": -25.70,
  "e_above_lowest_polymorph_ev_per_fu": 2.24,
  "m_tot_mub_per_atom": 0.08,
  "formation_energy_uncorrected_ev_per_atom": 0.3277,
  "lattice": [[-5.089, 3.483, -0.117], [-5.770, 1.144, 1.855], [0.470, 3.632, 4.471]],
  "species": ["Tc", "W", "Cl", "Cl"],
  "frac_coords": [[0.636, 0.636, 0.183], [0.238, 0.238, 0.342], [0.930, 0.930, 0.233], [0.695, 0.695, 0.743]]
}

=====

# 7
{
  "formula": "TcWCl",
  "functional": "GGA-PBE",
  "state": "relaxed",
  "density_g_cm3": 10.060,
  "final_energy_ev_per_cell": -23.77,
  "e_above_lowest_polymorph_ev_per_fu": 0.38,
  "m_tot_mub_per_atom": 0.00,
  "formation_energy_uncorrected_ev_per_atom": 0.4646,
  "lattice": [[-0.957, -6.003, 3.579], [-0.898, -6.645, 0.629], [2.469, -0.532, 1.654]],
  "species": ["Cl", "W", "Tc"],
  "frac_coords": [[0.008, 0.008, 0.992], [0.675, 0.675, 0.325], [0.317, 0.317, 0.683]]
}

=====

# 8
{
  "formula": "Tc2WCl",
  "functional": "GGA-PBE",
  "state": "relaxed",
  "density_g_cm3": 11.306,
  "final_energy_ev_per_cell": -31.64,
  "e_above_lowest_polymorph_ev_per_fu": 2.75,
  "m_tot_mub_per_atom": 0.00,
  "formation_energy_uncorrected_ev_per_atom": 0.9717,
  "lattice": [[4.418, 0.000, 0.000], [2.209, 3.827, 0.000], [2.209, 1.276, 3.608]],
  "species": ["Tc", "Tc", "Cl", "W"],
  "frac_coords": [[0.000, 0.000, 0.000], [0.250, 0.250, 0.250], [0.500, 0.500, 0.500], [0.750, 0.750, 0.750]]
}

=====

# 9
{
  "formula": "TcWCl3",
  "functional": "GGA-PBE",
  "state": "relaxed",
  "density_g_cm3": 5.538,
  "final_energy_ev_per_cell": -23.23,
  "e_above_lowest_polymorph_ev_per_fu": 0.76,
  "m_tot_mub_per_atom": 0.48,
  "formation_energy_uncorrected_ev_per_atom": 1.1268,
  "lattice": [[-1.193, -4.711, 0.468], [1.134, 0.184, 4.745], [-4.597, 1.268, 1.050]],
  "species": ["Tc", "Cl", "Cl", "Cl", "W"],
  "frac_coords": [[0.000, 0.000, 0.000], [0.500, 0.000, 0.000], [0.000, 0.000, 0.500], [0.000, 0.500, 0.000], [0.500, 0.500, 0.500]]
}

=====

# 10
{
  "formula": "Tc2WCl",
  "functional": "GGA-PBE",
  "state": "relaxed",
  "density_g_cm3": 10.986,
  "final_energy_ev_per_cell": -33.28,
  "e_above_lowest_polymorph_ev_per_fu": 1.12,
  "m_tot_mub_per_atom": 0.00,
  "formation_energy_uncorrected_ev_per_atom": 0.5637,
  "lattice": [[-2.131, -0.834, 1.654], [-0.131, -0.702, -2.731], [4.301, -7.551, 1.733]],
  "species": ["Tc", "Tc", "Cl", "W"],
  "frac_coords": [[0.500, 0.500, 0.248], [0.000, 0.000, 0.006], [0.500, 0.500, 0.747], [0.000, 0.000, 0.498]]
}

=====

# 11
{
  "formula": "Tc2WCl",
  "functional": "GGA-PBE",
  "state": "relaxed",
  "density_g_cm3": 11.846,
  "final_energy_ev_per_cell": -33.05,
  "e_above_lowest_polymorph_ev_per_fu": 1.35,
  "m_tot_mub_per_atom": 0.00,
  "formation_energy_uncorrected_ev_per_atom": 0.6212,
  "lattice": [[-2.469, -4.593, -0.078], [2.536, -4.197, 1.774], [-1.941, 4.737, 0.997]],
  "species": ["Cl", "W", "Tc", "Tc"],
  "frac_coords": [[0.250, 0.750, 0.500], [0.750, 0.250, 0.500], [0.479, 0.479, 0.000], [0.021, 0.021, 0.000]]
}

=====

# 12
{
  "formula": "TcWCl",
  "functional": "GGA-PBE",
  "state": "relaxed",
  "density_g_cm3": 9.706,
  "final_energy_ev_per_cell": -21.74,
  "e_above_lowest_polymorph_ev_per_fu": 2.41,
  "m_tot_mub_per_atom": 0.00,
  "formation_energy_uncorrected_ev_per_atom": 1.1412,
  "lattice": [[-0.089, -3.552, -2.332], [3.632, -1.756, -1.337], [1.326, -3.675, 1.673]],
  "species": ["Cl", "Tc", "W"],
  "frac_coords": [[0.000, 0.000, 0.000], [0.500, 0.500, 0.500], [0.750, 0.750, 0.750]]
}

=====

# 13
{
  "formula": "TcWCl2",
  "functional": "GGA-PBE",
  "state": "relaxed",
  "density_g_cm3": 6.173,
  "final_energy_ev_per_cell": -25.44,
  "e_above_lowest_polymorph_ev_per_fu": 2.50,
  "m_tot_mub_per_atom": 0.37,
  "formation_energy_uncorrected_ev_per_atom": 0.3941,
  "lattice": [[-5.415, 3.280, 4.276], [-7.074, -1.461, 2.484], [7.472, -1.170, -1.039]],
  "species": ["Tc", "W", "Cl", "Cl"],
  "frac_coords": [[0.750, 0.250, 0.500], [0.250, 0.750, 0.500], [0.390, 0.390, 0.999], [0.110, 0.110, 0.001]]
}

=====

# 14
{
  "formula": "TcWCl2",
  "functional": "GGA-PBE",
  "state": "relaxed",
  "density_g_cm3": 8.929,
  "final_energy_ev_per_cell": -23.73,
  "e_above_lowest_polymorph_ev_per_fu": 4.21,
  "m_tot_mub_per_atom": 0.01,
  "formation_energy_uncorrected_ev_per_atom": 0.8208,
  "lattice": [[-2.892, -3.010, 1.561], [2.950, -1.567, -3.937], [2.588, -1.844, 1.200]],
  "species": ["Cl", "Cl", "W", "Tc"],
  "frac_coords": [[0.500, 0.000, 0.500], [0.000, 0.000, 0.000], [0.500, 0.500, 0.000], [0.000, 0.500, 0.500]]
}

=====

# 15
{
  "formula": "Tc2WCl",
  "functional": "GGA-PBE",
  "state": "relaxed",
  "density_g_cm3": 11.467,
  "final_energy_ev_per_cell": -33.16,
  "e_above_lowest_polymorph_ev_per_fu": 1.24,
  "m_tot_mub_per_atom": 0.00,
  "formation_energy_uncorrected_ev_per_atom": 0.5932,
  "lattice": [[-3.662, 0.350, -1.698], [0.332, -2.595, -1.252], [-1.930, -3.649, 3.410]],
  "species": ["Tc", "Tc", "Cl", "W"],
  "frac_coords": [[0.000, 0.865, 0.995], [0.000, 0.635, 0.505], [0.500, 0.750, 0.750], [0.500, 0.250, 0.250]]
}